[1]
A plane-wave DFT calculation with GGA-PBE was carried out for a relaxed Ho5Er2In4 crystal.

Total moment   0.0000 μB/atom
Excess energy over the best structure of this formula in the dataset   546.6 meV/atom
Formation energy   30 kJ per mole of atoms
Space group   Immm

Cell and atoms, written as POSCAR:
```
Ho5Er2In4
1.0
3.4306 0.0000 0.0000
0.0000 8.4921 0.0000
-1.7153 -4.2460 14.2794
Ho Er In
5 2 4
Cartesian
0.0000 1.6613 5.7662
1.7153 2.5848 8.5132
0.0000 -1.6613 5.7662
1.7153 0.0000 0.0000
1.7153 5.9073 8.5132
0.0000 0.0000 2.7420
1.7153 4.2460 11.5374
1.7153 4.2460 5.6281
0.0000 2.7211 0.0000
0.0000 0.0000 8.6512
0.0000 5.7710 0.0000
```


[2]
A plane-wave DFT calculation with GGA-PBE was carried out for a relaxed Ho3Er8In crystal.

Total moment   0.0000 μB/atom
Formation energy   -4 kJ per mole of atoms
Space group   Pm

Cell and atoms, written as POSCAR:
```
Ho3Er8In
1.0
3.4231 -0.0056 -0.7757
0.3234 8.4548 1.3656
2.9050 6.1147 12.7774
Ho Er In
3 8 1
Cartesian
3.5551 7.4032 10.3444
3.6197 5.7552 2.6981
2.9871 0.3598 -0.0528
4.1539 12.4041 12.9529
3.2456 10.5735 8.9565
4.9181 4.8696 8.4362
2.5688 5.2624 6.0045
4.6103 7.9382 7.0540
2.2402 8.4362 4.5311
1.5628 3.1203 1.5837
3.9545 2.6173 4.1989
5.5669 9.9065 11.2713
```


Total DFT energy (no corrections) / eV for the cell shown: -39.54; -53.53